Re2MoP | PBE | relaxed

Output
Total energy   -10.3168 eV/atom
SG   No. 123
ΔH_f (0 K)   -0.03 eV per atom
Spin magnetization   0.00 μB per cell
Crystal system   tetragonal

Cell: 2.9144 2.9144 6.6953 Å, 90.00 90.00 90.00°
With the nearest neighbours (Å) after each atom.
Fractional positions:
1 Re 0.0000 0.0000 0.2177  4 P 2.52, 4 Mo 2.80
2 Re 0.0000 0.0000 0.7823  4 P 2.52, 4 Mo 2.80
3 Mo 0.5000 0.5000 0.5000  8 Re 2.80, 4 Mo 2.91
4 P 0.5000 0.5000 0.0000  8 Re 2.52